Record 1
A relaxed Mg2InCuAu4 crystal, computed with PBE.

Results
- mass density (g/cm³) = 11.8
- total magnetization (μB per formula unit) = 0.0
- energy relative to the elements (eV per atom) = -0.364

Lattice parameters (Å, degrees): 8.1854 8.1854 8.1854 32.80 32.80 32.80
Atoms (fractional coordinates):
Mg 0.2469 0.2469 0.2469
Mg 0.7531 0.7531 0.7531
In 0.0000 0.0000 0.0000
Cu 0.5000 0.5000 0.5000
Au 0.1288 0.1288 0.1288
Au 0.3830 0.3830 0.3830
Au 0.6170 0.6170 0.6170
Au 0.8712 0.8712 0.8712



Record 2
A relaxed NbInCuAu crystal, computed with PBE.

Results
- mass density (g/cm³) = 11.0
- total magnetization (μB per formula unit) = 0.5
- energy relative to the elements (eV per atom) = 0.124

Lattice parameters (Å, degrees): 4.6398 4.6398 4.6398 60.00 60.00 60.00
Atoms (fractional coordinates):
Nb 0.0000 0.0000 0.0000
In 0.5000 0.5000 0.5000
Cu 0.2500 0.2500 0.2500
Au 0.7500 0.7500 0.7500



Q: What is the energy relative to the elements in the second record?
A: 0.124 eV per atom